Record 1
The following is a GGA+U calculation of CrC3O after structural relaxation, from Alexandria.

Unit cell a=3.472 b=3.472 c=3.472 alpha=90.00 beta=90.00 gamma=90.00
Space group Pm-3m (No. 221)
Asymmetric unit:
Cr1 0.000 0.000 0.000 (multiplicity 1)
C1 0.000 0.500 0.500 (multiplicity 3)
O1 0.500 0.500 0.500 (multiplicity 1)

Values from the calculation:
- Fermi-level density of states: 0.545 states/eV/atom
- Energy above the lowest structure with this stoichiometry: 0.543 eV per atom
- Crystal system: cubic

Record 2
The following is a GGA+U calculation of CrCO3 after structural relaxation, from Alexandria.

Unit cell a=3.637 b=3.637 c=3.637 alpha=90.00 beta=90.00 gamma=90.00
Space group Pm-3m (No. 221)
Asymmetric unit:
Cr1 0.000 0.000 0.000 (multiplicity 1)
C1 0.500 0.500 0.500 (multiplicity 1)
O1 0.000 0.000 0.500 (multiplicity 3)

Values from the calculation:
- Fermi-level density of states: 0.761 states/eV/atom
- Energy: -5.502 eV/atom
- Crystal system: cubic

Record 3
The following is a GGA+U calculation of CrCO2 after structural relaxation, from Alexandria.

Unit cell a=3.1929 b=3.1929 c=28.6024 alpha=90.00 beta=90.00 gamma=120.00
Space group R-3m (No. 166, hexagonal axes)
Asymmetric unit:
Cr1 0.0000 0.0000 0.0000 (multiplicity 3)
C1 0.0000 0.0000 0.5000 (multiplicity 3)
O1 0.0000 0.0000 0.4588 (multiplicity 6)

Values from the calculation:
- Fermi-level density of states: 0.097 states/eV/atom
- Energy: -7.114 eV/atom
- Crystal system: trigonal

Record 4
The following is a GGA+U calculation of CrCO2 after structural relaxation, from Alexandria.

Unit cell a=4.708 b=4.708 c=7.842 alpha=90.00 beta=90.00 gamma=90.00
Space group I-42d (No. 122)
Asymmetric unit:
Cr1 0.000 0.000 0.000 (multiplicity 4)
C1 0.000 0.000 0.500 (multiplicity 4)
O1 0.128 0.250 0.625 (multiplicity 8)

Values from the calculation:
- Fermi-level density of states: 0.219 states/eV/atom
- Energy: -6.203 eV/atom
- Crystal system: tetragonal

Record 5
The following is a GGA+U calculation of CrC3O after structural relaxation, from Alexandria.

Unit cell a=3.824 b=3.824 c=3.824 alpha=90.00 beta=90.00 gamma=90.00
Space group Pm-3m (No. 221)
Asymmetric unit:
Cr1 0.000 0.000 0.000 (multiplicity 1)
C1 0.000 0.000 0.500 (multiplicity 3)
O1 0.500 0.500 0.500 (multiplicity 1)

Values from the calculation:
- Fermi-level density of states: 0.446 states/eV/atom
- Energy above the lowest structure with this stoichiometry: 0.000 eV per atom
- Crystal system: cubic

Record 6
The following is a GGA+U calculation of Cr2CO after structural relaxation, from Alexandria.

Unit cell a=4.757 b=4.757 c=8.897 alpha=90.00 beta=90.00 gamma=90.00
Space group I-42d (No. 122)
Asymmetric unit:
Cr1 0.237 0.250 0.125 (multiplicity 8)
C1 0.000 0.000 0.000 (multiplicity 4)
O1 0.000 0.000 0.500 (multiplicity 4)

Values from the calculation:
- Fermi-level density of states: 0.108 states/eV/atom
- Energy above the lowest structure with this stoichiometry: 0.000 eV per atom
- Crystal system: tetragonal

Record 7
The following is a GGA+U calculation of CrC2O after structural relaxation, from Alexandria.

Unit cell a=4.714 b=4.714 c=6.906 alpha=90.00 beta=90.00 gamma=90.00
Space group I-42d (No. 122)
Asymmetric unit:
Cr1 0.000 0.000 0.000 (multiplicity 4)
C1 0.197 0.250 0.625 (multiplicity 8)
O1 0.000 0.000 0.500 (multiplicity 4)

Values from the calculation:
- Fermi-level density of states: 0.367 states/eV/atom
- Energy: -6.014 eV/atom
- Crystal system: tetragonal

Record 8
The following is a GGA+U calculation of Cr2CO after structural relaxation, from Alexandria.

Unit cell a=5.429 b=5.429 c=5.429 alpha=90.00 beta=90.00 gamma=90.00
Space group Fm-3m (No. 225)
Asymmetric unit:
Cr1 0.250 0.250 0.250 (multiplicity 8)
C1 0.000 0.000 0.000 (multiplicity 4)
O1 0.000 0.000 0.500 (multiplicity 4)

Values from the calculation:
- Fermi-level density of states: 0.793 states/eV/atom
- Energy above the lowest structure with this stoichiometry: 0.609 eV per atom
- Crystal system: cubic

Record 9
The following is a GGA+U calculation of CrCO2 after structural relaxation, from Alexandria.

Unit cell a=2.5215 b=2.5215 c=17.3072 alpha=90.00 beta=90.00 gamma=120.00
Space group R-3m (No. 166, hexagonal axes)
Asymmetric unit:
Cr1 0.0000 0.0000 0.0000 (multiplicity 3)
C1 0.0000 0.0000 0.5000 (multiplicity 3)
O1 0.0000 0.0000 0.1107 (multiplicity 6)

Values from the calculation:
- Fermi-level density of states: 0.429 states/eV/atom
- Energy: -5.368 eV/atom
- Crystal system: trigonal

Record 10
The following is a GGA+U calculation of CrPCO2 after structural relaxation, from Alexandria.

Unit cell a=3.485 b=3.485 c=5.546 alpha=90.00 beta=90.00 gamma=90.00
Space group P4/mmm (No. 123)
Asymmetric unit:
Cr1 0.000 0.000 0.000 (multiplicity 1)
P1 0.000 0.000 0.500 (multiplicity 1)
C1 0.500 0.500 0.500 (multiplicity 1)
O1 0.000 0.500 0.000 (multiplicity 2)

Values from the calculation:
- Fermi-level density of states: 0.606 states/eV/atom
- Energy above the lowest structure with this stoichiometry: 0.000 eV per atom
- Crystal system: tetragonal

Record 11
The following is a GGA+U calculation of CrPCO2 after structural relaxation, from Alexandria.

Unit cell a=3.677 b=3.677 c=3.815 alpha=90.00 beta=90.00 gamma=90.00
Space group P4/mmm (No. 123)
Asymmetric unit:
Cr1 0.000 0.000 0.000 (multiplicity 1)
P1 0.500 0.500 0.000 (multiplicity 1)
C1 0.500 0.500 0.500 (multiplicity 1)
O1 0.000 0.500 0.500 (multiplicity 2)

Values from the calculation:
- Fermi-level density of states: 0.435 states/eV/atom
- Energy above the lowest structure with this stoichiometry: 0.196 eV per atom
- Crystal system: tetragonal

Record 12
The following is a GGA+U calculation of CrPbC2O6 after structural relaxation, from Alexandria.

Unit cell a=5.0257 b=5.0257 c=17.1909 alpha=90.00 beta=90.00 gamma=120.00
Space group R-3 (No. 148, hexagonal axes)
Asymmetric unit:
Cr1 0.0000 0.0000 0.0000 (multiplicity 3)
Pb1 0.0000 0.0000 0.5000 (multiplicity 3)
C1 0.0000 0.0000 0.2588 (multiplicity 6)
O1 0.0508 0.6106 0.4093 (multiplicity 18)

Values from the calculation:
- Fermi-level density of states: 0.259 states/eV/atom
- Energy: -7.342 eV/atom
- Crystal system: trigonal